VASP calculation (PBE with a Hubbard U) on a relaxed RbV2FeO8 crystal.

Total energy ... -6.61 eV per atom

The structure in POSCAR format:
```
RbV2FeO8
1.0
-3.0453 3.1296 3.6464
2.6201 -4.7181 1.7998
6.3267 4.1653 1.7089
Rb V Fe O
1 2 1 8
direct
0.0000 0.0000 0.0000
0.6667 0.3333 0.2858
0.3333 0.6667 0.7142
0.0000 0.0000 0.5000
0.3333 0.6667 0.9321
0.3256 0.1635 0.3501
0.8365 0.1621 0.3501
0.6667 0.3333 0.0679
0.1635 0.8379 0.6499
0.6744 0.8365 0.6499
0.1621 0.3256 0.6499
0.8379 0.6744 0.3501
```